1.
Here is a relaxed CaRuSeN2 crystal from Alexandria via LeMat-Bulk. Energies are from GGA-PBE.

Computed properties:
total magnetization	7.5	μB/f.u.
density of states at the Fermi level	6.05	states/eV per cell
raw formation energy	181.3	kJ/mol of atoms
offset from the most stable computed form	1905	meV/atom

```
5
Lattice="4.359 0.000 0.000 0.000 4.359 0.000 0.000 0.000 5.821" Properties=species:S:1:pos:R:3 pbc="T T T"
Ca 0.000 0.000 0.000
Ru 2.180 2.180 2.911
Se 0.000 0.000 2.911
N 0.000 2.180 0.000
N 2.180 0.000 0.000
```

=====

2.
Here is a relaxed CaSm2RuN4 crystal from Alexandria via LeMat-Bulk. Energies are from GGA-PBE.

Computed properties:
total magnetization	0.0	μB/f.u.
density of states at the Fermi level	2.17	states/eV per cell
raw formation energy	-74.5	kJ/mol of atoms

```
16
Lattice="1.749 -6.050 0.000 1.749 6.050 0.000 0.000 0.000 11.844" Properties=species:S:1:pos:R:3 pbc="T T T"
Ca 1.749 4.468 8.883
Ca 1.749 -4.468 2.961
Sm 1.749 1.591 6.333
Sm 1.749 1.591 11.432
Sm 1.749 -1.591 0.411
Sm 1.749 -1.591 5.511
Ru 1.749 4.292 2.961
Ru 1.749 -4.292 8.883
N 0.000 0.000 0.000
N 0.000 0.000 5.922
N 1.749 2.905 1.536
N 1.749 2.905 4.386
N 1.749 0.899 8.883
N 1.749 -0.899 2.961
N 1.749 -2.905 7.458
N 1.749 -2.905 10.308
```

=====

3.
Here is a relaxed CaTb2RuN4 crystal from Alexandria via LeMat-Bulk. Energies are from GGA-PBE.

Computed properties:
total magnetization	0.0	μB/f.u.
density of states at the Fermi level	2.27	states/eV per cell
raw formation energy	-83.8	kJ/mol of atoms

```
16
Lattice="1.726 -5.925 0.000 1.726 5.925 0.000 0.000 0.000 11.656" Properties=species:S:1:pos:R:3 pbc="T T T"
Ca 1.726 4.407 8.742
Ca 1.726 -4.407 2.914
Tb 1.726 1.558 6.236
Tb 1.726 1.558 11.248
Tb 1.726 -1.558 0.408
Tb 1.726 -1.558 5.420
Ru 1.726 4.232 2.914
Ru 1.726 -4.232 8.742
N 0.000 0.000 0.000
N 0.000 0.000 5.828
N 1.726 2.863 1.474
N 1.726 2.863 4.355
N 1.726 0.811 8.742
N 1.726 -0.811 2.914
N 1.726 -2.863 7.302
N 1.726 -2.863 10.183
```

=====

4.
Here is a relaxed CaTcRuN2 crystal from Alexandria via LeMat-Bulk. Energies are from GGA-PBE.

Computed properties:
total magnetization	0.1	μB/f.u.
density of states at the Fermi level	8.99	states/eV per cell
raw formation energy	265.4	kJ/mol of atoms

```
5
Lattice="4.081 0.000 0.000 0.000 4.081 0.000 0.000 0.000 5.102" Properties=species:S:1:pos:R:3 pbc="T T T"
Ca 0.000 0.000 0.000
Tc 2.040 2.040 2.551
Ru 0.000 0.000 2.551
N 0.000 2.040 0.000
N 2.040 0.000 0.000
```

=====

5.
Here is a relaxed CaTe2RuN crystal from Alexandria via LeMat-Bulk. Energies are from GGA-PBE.

Computed properties:
total magnetization	0.0	μB/f.u.
density of states at the Fermi level	2.52	states/eV per cell
raw formation energy	-29.1	kJ/mol of atoms
offset from the most stable computed form	0	meV/atom

```
5
Lattice="5.607 0.000 0.000 0.000 5.607 0.000 0.000 0.000 3.697" Properties=species:S:1:pos:R:3 pbc="T T T"
Ca 0.000 0.000 0.000
Te 0.000 2.803 1.849
Te 2.803 0.000 1.849
Ru 2.803 2.803 1.849
N 2.803 2.803 0.000
```

=====

6.
Here is a relaxed CaTeRuN2 crystal from Alexandria via LeMat-Bulk. Energies are from GGA-PBE.

Computed properties:
total magnetization	0.4	μB/f.u.
density of states at the Fermi level	2.15	states/eV per cell
raw formation energy	28.1	kJ/mol of atoms
offset from the most stable computed form	0	meV/atom

```
5
Lattice="4.004 0.000 0.000 0.000 4.004 0.000 0.000 0.000 5.672" Properties=species:S:1:pos:R:3 pbc="T T T"
Ca 0.000 0.000 0.000
Te 2.002 2.002 0.000
Ru 2.002 2.002 2.836
N 0.000 2.002 2.836
N 2.002 0.000 2.836
```

=====

7.
Here is a relaxed CaTeRuN2 crystal from Alexandria via LeMat-Bulk. Energies are from GGA-PBE.

Computed properties:
total magnetization	7.3	μB/f.u.
density of states at the Fermi level	7.46	states/eV per cell
raw formation energy	177.2	kJ/mol of atoms
offset from the most stable computed form	1545	meV/atom

```
5
Lattice="4.378 0.000 0.000 0.000 4.378 0.000 0.000 0.000 6.435" Properties=species:S:1:pos:R:3 pbc="T T T"
Ca 0.000 0.000 0.000
Te 0.000 0.000 3.217
Ru 2.189 2.189 3.217
N 0.000 2.189 0.000
N 2.189 0.000 0.000
```

=====

8.
Here is a relaxed Ca2TeRuN crystal from Alexandria via LeMat-Bulk. Energies are from GGA-PBE.

Computed properties:
total magnetization	0.0	μB/f.u.
density of states at the Fermi level	3.11	states/eV per cell
raw formation energy	-73.1	kJ/mol of atoms

```
5
Lattice="5.186 0.000 0.000 0.000 5.186 0.000 0.000 0.000 3.853" Properties=species:S:1:pos:R:3 pbc="T T T"
Ca 0.000 2.593 0.000
Ca 2.593 0.000 0.000
Te 0.000 0.000 1.926
Ru 2.593 2.593 1.926
N 2.593 2.593 0.000
```